i) ## Cr2Br (SCAN)

Data for Cr2Br at its PBEsol-relaxed geometry.

Cell: 2.922 2.922 9.704 Å, 90.00 90.00 90.00°
Space group I4/mmm (No. 139)
Asymmetric unit:
Cr 0.000 0.000 0.187 (multiplicity 4)
Br 0.000 0.000 0.500 (multiplicity 2)

Properties
DOS at the Fermi energy = 5.66 states/eV/cell
crystal system = tetragonal

***

ii) ## Cr2Br (SCAN)

Data for Cr2Br at its PBEsol-relaxed geometry.

Cell: 8.002 3.147 8.943 Å, 90.00 109.30 90.00°
Space group C2/m (No. 12)
Asymmetric unit:
Cr 0.046 0.000 0.362 (multiplicity 4)
Cr 0.155 0.500 0.555 (multiplicity 4)
Br 0.201 0.500 0.184 (multiplicity 4)

Properties
DOS at the Fermi energy = 2.03 states/eV/cell
crystal system = monoclinic

***

iii) ## Cr2Br (SCAN)

Data for Cr2Br at its PBEsol-relaxed geometry.

Cell: 16.454 3.033 4.733 Å, 90.00 99.40 90.00°
Space group C2/m (No. 12)
Asymmetric unit:
Cr 0.197 0.000 0.112 (multiplicity 4)
Cr 0.204 0.000 0.667 (multiplicity 4)
Br 0.093 0.500 0.302 (multiplicity 4)

Properties
DOS at the Fermi energy = 3.88 states/eV/cell
crystal system = monoclinic

***

Which structure is the least stable? The one labeled i).

***

i) ## CsCrBr3 (SCAN)

Data for CsCrBr3 at its PBEsol-relaxed geometry.

Cell: 7.4526 7.4526 6.3001 Å, 90.00 90.00 120.00°
Space group P6_3mc (No. 186)
Asymmetric unit:
Cs 0.3333 0.6667 0.0000 (multiplicity 2)
Cr 0.0000 0.0000 0.2508 (multiplicity 2)
Br 0.1619 0.3237 0.5006 (multiplicity 6)

Properties
DOS at the Fermi energy = 5.47 states/eV/cell
crystal system = hexagonal

***

ii) ## CsCrBr3 (SCAN)

Data for CsCrBr3 at its PBEsol-relaxed geometry.

Cell: 5.235 5.235 5.235 Å, 90.00 90.00 90.00°
Space group Pm-3m (No. 221)
Asymmetric unit:
Cs 0.000 0.000 0.000 (multiplicity 1)
Cr 0.500 0.500 0.500 (multiplicity 1)
Br 0.000 0.500 0.500 (multiplicity 3)

Properties
DOS at the Fermi energy = 0.89 states/eV/cell
crystal system = cubic

***

Which structure is the least stable? The one labeled i).

***

i) ## CrCu2Br (SCAN)

Data for CrCu2Br at its PBEsol-relaxed geometry.

Cell: 3.191 3.164 6.481 Å, 90.00 104.04 90.00°
Space group Pm (No. 6)
Asymmetric unit:
Cr 0.000 0.000 0.000 (multiplicity 1)
Cu 0.196 0.000 0.398 (multiplicity 1)
Cu 0.613 0.500 0.230 (multiplicity 1)
Br 0.368 0.500 0.736 (multiplicity 1)

Properties
DOS at the Fermi energy = 1.48 states/eV/cell
crystal system = monoclinic

***

ii) ## CrCu2Br (SCAN)

Data for CrCu2Br at its PBEsol-relaxed geometry.

Cell: 3.057 4.163 9.497 Å, 90.00 90.00 90.00°
Space group Immm (No. 71)
Asymmetric unit:
Cr 0.000 0.000 0.000 (multiplicity 2)
Cu 0.000 0.500 0.256 (multiplicity 4)
Br 0.000 0.000 0.500 (multiplicity 2)

Properties
DOS at the Fermi energy = 2.74 states/eV/cell
crystal system = orthorhombic

***

Which structure is the least stable? The one labeled ii).